[1]
DFT (PBE) results for crystalline RbLi2TlAu at its relaxed geometry.

- DFT total energy (eV/atom) = -2.22
- energy of formation from the pure elements (eV/atom) = -0.129

Unit cell a=5.262 b=5.262 c=5.693 alpha=90.00 beta=90.00 gamma=90.00
Element x y z (fractional)
Tl 0.000 0.000 0.500
Li 0.000 0.500 0.000
Li 0.500 0.000 0.000
Rb 0.500 0.500 0.500
Au 0.000 0.000 0.000


[2]
DFT (PBE) results for crystalline RbLiTl2Au at its relaxed geometry.

- DFT total energy (eV/atom) = -2.22
- energy of formation from the pure elements (eV/atom) = -0.044
- offset from the most stable computed form (meV per atom) = 30.5

Unit cell a=5.368 b=5.368 c=5.167 alpha=90.00 beta=90.00 gamma=90.00
Element x y z (fractional)
Tl 0.000 0.500 0.000
Tl 0.500 0.000 0.000
Li 0.000 0.000 0.000
Au 0.000 0.000 0.500
Rb 0.500 0.500 0.500


[3]
DFT (PBE) results for crystalline RbLi2ZnAu at its relaxed geometry.

- DFT total energy (eV/atom) = -1.05
- energy of formation from the pure elements (eV/atom) = 0.819
- offset from the most stable computed form (meV per atom) = 958.7

Unit cell a=6.226 b=6.077 c=6.226 alpha=90.00 beta=90.00 gamma=90.00
Element x y z (fractional)
Li 0.500 0.000 0.000
Li 0.000 0.000 0.500
Au 0.000 0.500 0.000
Rb 0.000 0.000 0.000
Zn 0.500 0.500 0.500